# 1
Density functional theory data (GGA-PBE) for crystalline Pm3In at its relaxed geometry.

a b c (Å): 6.152 6.152 6.152
angles (deg): 133.27 133.27 68.22
Element x y z (fractional)
Pm1 0.000 0.000 0.000
Pm2 0.250 0.750 0.500
Pm3 0.750 0.250 0.500
In1 0.500 0.500 0.000

Computed properties:
Distance to the lowest polymorph of the same formula ... 19 meV/atom

# 2
Density functional theory data (GGA-PBE) for crystalline CaNi2AsH at its relaxed geometry.

a b c (Å): 5.531 5.531 6.823
angles (deg): 90.00 90.00 140.01
Element x y z (fractional)
Ca1 0.050 0.950 0.750
Ca2 0.950 0.050 0.250
Ni1 0.336 0.664 0.558
Ni2 0.336 0.664 0.942
Ni3 0.664 0.336 0.058
Ni4 0.664 0.336 0.442
As1 0.230 0.770 0.250
As2 0.770 0.230 0.750
H1 0.500 0.500 0.000
H2 0.500 0.500 0.500

# 3
Density functional theory data (GGA-PBE) for crystalline Sr2LaCdRu at its relaxed geometry.

a b c (Å): 5.983 5.983 5.165
angles (deg): 90.00 90.00 90.00
Element x y z (fractional)
Sr1 0.000 0.500 0.000
Sr2 0.500 0.000 0.000
La1 0.000 0.000 0.500
Cd1 0.500 0.500 0.500
Ru1 0.000 0.000 0.000

# 4
Density functional theory data (GGA-PBE) for crystalline Na3InSb2 at its relaxed geometry.

a b c (Å): 9.172 9.172 9.172
angles (deg): 138.04 64.28 133.67
Element x y z (fractional)
Na1 0.178 0.239 0.417
Na2 0.250 0.250 0.000
Na3 0.322 0.739 0.061
Na4 0.678 0.261 0.939
Na5 0.750 0.750 0.000
Na6 0.822 0.761 0.583
In1 0.250 0.750 0.500
In2 0.750 0.250 0.500
Sb1 0.117 0.722 0.839
Sb2 0.383 0.222 0.604
Sb3 0.617 0.778 0.396
Sb4 0.883 0.278 0.161

Computed properties:
Distance to the lowest polymorph of the same formula ... 30 meV/atom
Formation energy from raw total energies ... -0.352 eV per atom

| no. | VASP energy (eV for the cell shown) | spin magnetization (μB per atom) |
| --- | --- | --- |
| 1 | -18.01 | 0.00 |
| 2 | -48.97 | 0.00 |
| 3 | -18.62 | 0.00 |
| 4 | -34.10 | 0.00 |